1 | ! AlHgRu2, optimized geometry, DFT PBE; values from VASP
&SYSTEM
  ibrav = 0, nat = 4, ntyp = 3
/
ATOMIC_SPECIES
Ru 101.07 Ru.upf
Al 26.98 Al.upf
Hg 200.59 Hg.upf
CELL_PARAMETERS angstrom
3.604 0.000 0.000
0.000 2.861 0.015
0.000 2.830 6.273
ATOMIC_POSITIONS angstrom
Ru 0.000 2.861 0.278
Ru 1.802 1.421 1.569
Al 0.000 2.846 2.859
Hg 1.802 4.270 4.740
! Calculated volume (Å³ per atom): 16.13
! M_tot (μB/f.u.): 0.00

=====

2 | ! AlHgRu2, optimized geometry, DFT PBE; values from VASP
&SYSTEM
  ibrav = 0, nat = 4, ntyp = 3
/
ATOMIC_SPECIES
Ru 101.07 Ru.upf
Hg 200.59 Hg.upf
Al 26.98 Al.upf
CELL_PARAMETERS angstrom
9.120 -0.010 -0.006
8.669 2.833 -0.006
8.669 1.375 2.477
ATOMIC_POSITIONS angstrom
Ru 26.223 4.161 2.443
Ru 6.618 1.050 0.616
Hg 19.839 3.148 1.848
Al 13.465 2.136 1.254
! Calculated volume (Å³ per atom): 16.09
! M_tot (μB/f.u.): 0.00

=====

3 | ! AlHgRu2, optimized geometry, DFT PBE; values from VASP
&SYSTEM
  ibrav = 0, nat = 4, ntyp = 3
/
ATOMIC_SPECIES
Ru 101.07 Ru.upf
Hg 200.59 Hg.upf
Al 26.98 Al.upf
CELL_PARAMETERS angstrom
-4.530 2.699 0.011
-0.315 -4.946 0.540
-0.700 0.141 2.771
ATOMIC_POSITIONS angstrom
Ru -0.508 -2.403 1.656
Ru 0.000 0.000 0.000
Hg -2.615 1.420 1.391
Al -2.423 -1.124 0.276
! Calculated volume (Å³ per atom): 15.93
! M_tot (μB/f.u.): 0.28

=====

4 | ! AlHgRu2, optimized geometry, DFT PBE; values from VASP
&SYSTEM
  ibrav = 0, nat = 8, ntyp = 3
/
ATOMIC_SPECIES
Al 26.98 Al.upf
Hg 200.59 Hg.upf
Ru 101.07 Ru.upf
CELL_PARAMETERS angstrom
3.976 0.000 0.000
0.000 3.976 0.000
1.988 1.988 9.236
ATOMIC_POSITIONS angstrom
Al 1.988 3.976 4.618
Al 1.988 1.988 0.000
Hg 0.000 0.000 0.000
Hg 3.976 1.988 4.618
Ru 1.336 2.982 2.309
Ru 2.982 3.323 6.927
Ru 2.640 0.994 2.309
Ru 4.969 4.628 6.927
! Calculated volume (Å³ per atom): 18.25
! M_tot (μB/f.u.): 0.01

=====

Most stable one: 1, least stable one: 4.

=====

1 | ! AlHgRu2, optimized geometry, DFT PBE; values from VASP
&SYSTEM
  ibrav = 0, nat = 4, ntyp = 3
/
ATOMIC_SPECIES
Al 26.98 Al.upf
Hg 200.59 Hg.upf
Ru 101.07 Ru.upf
CELL_PARAMETERS angstrom
-1.650 -3.342 -3.100
0.899 -4.318 -2.011
-2.354 -2.888 2.920
ATOMIC_POSITIONS angstrom
Al -1.596 -5.249 -0.971
Hg -0.778 -2.649 -0.553
Ru -2.339 -7.919 -1.626
Ru -2.298 -2.894 2.784
! Calculated volume (Å³ per atom): 15.72
! M_tot (μB/f.u.): 0.00

=====

2 | ! AlHgRu2, optimized geometry, DFT PBE; values from VASP
&SYSTEM
  ibrav = 0, nat = 4, ntyp = 3
/
ATOMIC_SPECIES
Ru 101.07 Ru.upf
Hg 200.59 Hg.upf
Al 26.98 Al.upf
CELL_PARAMETERS angstrom
-1.097 0.694 2.769
-1.083 -2.845 0.284
5.729 -1.907 2.747
ATOMIC_POSITIONS angstrom
Ru 0.219 -0.073 0.105
Ru 2.645 -0.880 1.268
Hg 3.207 -2.506 3.587
Al 0.342 -1.552 2.213
! Calculated volume (Å³ per atom): 15.51
! M_tot (μB/f.u.): 0.35

=====

Most stable one: 2, least stable one: 1.

=====

1 | ! Al2HgRu2, optimized geometry, DFT PBE; values from VASP
&SYSTEM
  ibrav = 0, nat = 10, ntyp = 3
/
ATOMIC_SPECIES
Ru 101.07 Ru.upf
Al 26.98 Al.upf
Hg 200.59 Hg.upf
CELL_PARAMETERS angstrom
-2.351 0.806 6.639
0.546 -6.990 1.042
2.872 0.369 0.972
ATOMIC_POSITIONS angstrom
Ru -0.355 -1.523 6.426
Ru 0.721 -0.651 2.916
Ru 1.423 -4.293 2.227
Ru 0.347 -5.165 5.736
Al -1.416 -0.421 4.343
Al -0.113 -2.456 1.267
Al -1.692 -3.729 6.414
Al -0.389 -5.763 3.338
Hg 0.000 0.000 0.000
Hg -0.902 -3.092 3.840
! Calculated volume (Å³ per atom): 15.35
! M_tot (μB/f.u.): 0.00

=====

2 | ! Al2HgRu2, optimized geometry, DFT PBE; values from VASP
&SYSTEM
  ibrav = 0, nat = 10, ntyp = 3
/
ATOMIC_SPECIES
Ru 101.07 Ru.upf
Al 26.98 Al.upf
Hg 200.59 Hg.upf
CELL_PARAMETERS angstrom
7.087 0.000 0.000
0.000 7.087 0.000
0.000 0.000 3.159
ATOMIC_POSITIONS angstrom
Ru 4.583 1.040 0.000
Ru 1.040 2.503 0.000
Ru 2.503 6.047 0.000
Ru 6.047 4.583 0.000
Al 1.029 4.573 1.580
Al 2.514 1.029 1.580
Al 6.058 2.514 1.580
Al 4.573 6.058 1.580
Hg 3.543 3.543 0.000
Hg 0.000 0.000 0.000
! Calculated volume (Å³ per atom): 15.87
! M_tot (μB/f.u.): 0.00

=====

Most stable one: 2, least stable one: 1.

=====

1 | ! Al2HgS4, optimized geometry, DFT PBE; values from VASP
&SYSTEM
  ibrav = 0, nat = 7, ntyp = 3
/
ATOMIC_SPECIES
Al 26.98 Al.upf
S 32.06 S.upf
Hg 200.59 Hg.upf
CELL_PARAMETERS angstrom
5.245 0.000 0.000
0.000 5.245 0.000
0.000 0.000 5.904
ATOMIC_POSITIONS angstrom
Al 0.000 2.623 2.952
Al 2.623 0.000 2.952
S 3.827 3.827 1.619
S 1.418 1.418 1.619
S 1.418 3.827 4.285
S 3.827 1.418 4.285
Hg 0.000 0.000 0.000
! Calculated volume (Å³ per atom): 23.20
! M_tot (μB/f.u.): 0.00

=====

2 | ! Al2HgS4, optimized geometry, DFT PBE; values from VASP
&SYSTEM
  ibrav = 0, nat = 7, ntyp = 3
/
ATOMIC_SPECIES
S 32.06 S.upf
Hg 200.59 Hg.upf
Al 26.98 Al.upf
CELL_PARAMETERS angstrom
6.510 -0.006 0.000
1.642 6.300 0.000
-4.076 -3.147 3.983
ATOMIC_POSITIONS angstrom
S 2.937 2.338 1.799
S 0.005 2.277 3.927
S -1.071 -0.897 2.183
S 6.281 2.576 0.056
Hg 0.000 0.000 0.000
Al 0.821 3.150 1.991
Al 4.076 3.147 0.000
! Calculated volume (Å³ per atom): 23.34
! M_tot (μB/f.u.): 0.00

=====

Most stable one: 2, least stable one: 1.

=====

1 | ! Al3HgS, optimized geometry, DFT PBE; values from VASP
&SYSTEM
  ibrav = 0, nat = 5, ntyp = 3
/
ATOMIC_SPECIES
S 32.06 S.upf
Al 26.98 Al.upf
Hg 200.59 Hg.upf
CELL_PARAMETERS angstrom
5.017 0.000 0.000
0.000 5.017 0.000
0.000 0.000 5.017
ATOMIC_POSITIONS angstrom
S 2.508 2.508 2.508
Al 0.000 0.000 2.508
Al 0.000 2.508 0.000
Al 2.508 0.000 0.000
Hg 0.000 0.000 0.000
! Calculated volume (Å³ per atom): 25.25
! M_tot (μB/f.u.): 0.00

=====

2 | ! Al3HgS, optimized geometry, DFT PBE; values from VASP
&SYSTEM
  ibrav = 0, nat = 5, ntyp = 3
/
ATOMIC_SPECIES
Al 26.98 Al.upf
S 32.06 S.upf
Hg 200.59 Hg.upf
CELL_PARAMETERS angstrom
-3.377 -3.350 0.073
1.839 -1.766 4.016
-2.801 2.879 2.549
ATOMIC_POSITIONS angstrom
Al -1.688 -1.675 0.036
Al -1.401 1.440 1.274
Al 0.919 -0.883 2.008
S 0.000 0.000 0.000
Hg -2.170 -1.119 3.319
! Calculated volume (Å³ per atom): 21.53
! M_tot (μB/f.u.): 0.00

=====

Most stable one: 2, least stable one: 1.

=====

1 | ! AlHg2S, optimized geometry, DFT PBE; values from VASP
&SYSTEM
  ibrav = 0, nat = 4, ntyp = 3
/
ATOMIC_SPECIES
Al 26.98 Al.upf
S 32.06 S.upf
Hg 200.59 Hg.upf
CELL_PARAMETERS angstrom
0.000 3.547 3.547
3.547 0.000 3.547
3.547 3.547 0.000
ATOMIC_POSITIONS angstrom
Al 0.000 0.000 0.000
S 3.547 3.547 3.547
Hg 1.773 1.773 1.773
Hg 5.320 5.320 5.320
! Calculated volume (Å³ per atom): 22.30
! M_tot (μB/f.u.): 0.00

=====

2 | ! AlHg2S, optimized geometry, DFT PBE; values from VASP
&SYSTEM
  ibrav = 0, nat = 8, ntyp = 3
/
ATOMIC_SPECIES
Hg 200.59 Hg.upf
S 32.06 S.upf
Al 26.98 Al.upf
CELL_PARAMETERS angstrom
6.648 0.000 0.000
0.000 6.648 0.000
3.324 3.324 4.940
ATOMIC_POSITIONS angstrom
Hg 4.992 1.662 1.235
Hg 1.656 4.986 1.235
Hg 8.310 8.316 3.705
Hg 4.986 4.981 3.705
S 6.648 3.324 2.470
S 0.000 0.000 0.000
Al 3.324 3.324 0.000
Al 3.324 6.648 2.470
! Calculated volume (Å³ per atom): 27.29
! M_tot (μB/f.u.): 0.00

=====

Most stable one: 2, least stable one: 1.